# 1
## TbScSi (PBE-GGA)

Data for a relaxed TbScSi crystal.

The calculation puts the volume at 294.7 Å³ per cell. The spin magnetization is 0.00 μB per cell. For the calculated total energy, the calculation gives -71.24 eV/cell.

The space group is F-43m (No. 216) and the conventional cell measures 6.6549, 6.6549 and 6.6549 Å, with angles of 90.00, 90.00 and 90.00 degrees. The distinct sites, in fractional coordinates, are Tb at (0.0000, 0.0000, 0.0000), Sc at (0.0000, 0.0000, 0.5000) and Si at (0.2500, 0.2500, 0.7500).


# 2
## SmZnCu (PBE-GGA)

Data for a relaxed SmZnCu crystal.

The calculation puts the volume at 264.5 Å³ per cell. The spin magnetization is 0.07 μB per cell. For the calculated total energy, the calculation gives -40.24 eV/cell.

The space group is F-43m (No. 216) and the conventional cell measures 6.4191, 6.4191 and 6.4191 Å, with angles of 90.00, 90.00 and 90.00 degrees. The distinct sites, in fractional coordinates, are Sm at (0.0000, 0.0000, 0.0000), Zn at (0.0000, 0.0000, 0.5000) and Cu at (0.2500, 0.2500, 0.2500).


# 3
## NaPaNO (PBE-GGA)

Data for a relaxed NaPaNO crystal.

The calculation puts the volume at 149.7 Å³ per cell. The spin magnetization is 1.95 μB per cell. For the calculated total energy, the calculation gives -57.67 eV/cell.

The space group is Pmc2_1 (No. 26) and the conventional cell measures 3.7360, 6.5252 and 6.1416 Å, with angles of 90.00, 90.00 and 90.00 degrees. The distinct sites, in fractional coordinates, are Na at (0.0000, 0.1631, 0.0000), Pa at (0.5000, 0.3275, 0.5027), N at (0.0000, 0.1856, 0.3931) and O at (0.5000, 0.3555, 0.8669).